No. 1
Mg3Fe3O8: single point on PBEsol structure, meta-GGA SCAN.

Summary:
space-group type	R-3m
formation energy from raw total energies	-2.21	eV per atom

POSCAR file:
```
Mg3Fe3O8
1.0
-1.4334 4.0389 -3.9888
2.3148 -0.2406 -5.3723
-3.3705 -1.4725 -4.5766
Mg Fe O
3 3 8
Direct
0.5000 0.0000 0.5000
0.0000 0.0000 0.5000
0.0000 0.5000 0.5000
0.6320 0.6320 0.1039
0.3680 0.3680 0.8961
0.0000 0.0000 0.0000
0.2308 0.7699 0.7684
0.2421 0.2421 0.2738
0.7699 0.2308 0.7684
0.2308 0.2308 0.7684
0.2301 0.7692 0.2316
0.7692 0.7692 0.2316
0.7692 0.2301 0.2316
0.7579 0.7579 0.7262
```

---

No. 2
La2OsAu: single point on PBEsol structure, meta-GGA SCAN.

Summary:
space-group type	P4/mmm
formation enthalpy at 0 K	-2.12	eV/f.u.

POSCAR file:
```
La2OsAu
1.0
3.4834 0.0000 0.0000
0.0000 3.4834 0.0000
0.0000 0.0000 7.7501
Au Os La
1 1 2
Direct
0.5000 0.5000 0.5000
0.5000 0.5000 0.0000
0.0000 0.0000 0.7720
0.0000 0.0000 0.2280
```

---

No. 3
Si2TcNi: single point on PBEsol structure, meta-GGA SCAN.

Summary:
space-group type	Imm2
formation energy from raw total energies	-0.40	eV per atom

POSCAR file:
```
Si2TcNi
1.0
-3.0501 -0.1024 0.2653
0.1054 -3.7726 -0.2450
1.8407 1.6792 4.1250
Ni Si Tc
1 2 1
Direct
0.2690 0.7690 0.5380
0.9773 0.9773 0.9547
0.7498 0.2498 0.4996
0.5039 0.5039 0.0077
```

---

No. 4
MnTc2Ru: single point on PBEsol structure, meta-GGA SCAN.

Summary:
space-group type	Immm
formation enthalpy at 0 K	0.11	eV/f.u.

POSCAR file:
```
MnTc2Ru
1.0
-0.2155 -2.7728 1.2410
0.7822 -1.7162 -3.6986
3.8509 2.3025 2.0762
Mn Ru Tc
1 1 2
Direct
0.5000 0.0000 0.0000
0.0000 0.5000 0.0000
0.7650 0.7650 0.5300
0.2350 0.2350 0.4700
```

---

| no. | volume (Å³ per atom) | total magnetic moment (μB/atom) |
| --- | --- | --- |
| 1 | 10.179 | 0.858 |
| 2 | 23.510 | 0.000 |
| 3 | 12.047 | 0.000 |
| 4 | 13.341 | 0.742 |